Entry 1:
A relaxed Mg5Sn2Hg2Bi crystal. Source: the Alexandria database, functional PBE.

```
Mg5Sn2Hg2Bi
1.0
11.690 0.000 0.000
0.000 11.690 0.000
0.000 0.000 3.661
Mg Sn Hg Bi
10 4 4 2
direct
0.000 0.500 0.000
0.010 0.215 0.000
0.215 0.990 0.000
0.285 0.490 0.000
0.490 0.715 0.000
0.500 0.000 0.000
0.510 0.285 0.000
0.715 0.510 0.000
0.785 0.010 0.000
0.990 0.785 0.000
0.172 0.672 0.500
0.328 0.172 0.500
0.672 0.828 0.500
0.828 0.328 0.500
0.142 0.358 0.500
0.358 0.858 0.500
0.642 0.142 0.500
0.858 0.642 0.500
0.000 0.000 0.500
0.500 0.500 0.500
```

As for the symmetry: No. 127.



Entry 2:
A relaxed SrMgHg2Bi crystal. Source: the Alexandria database, functional PBE.

```
SrMgHg2Bi
1.0
5.350 0.000 0.000
0.000 5.350 0.000
0.000 0.000 5.732
Sr Mg Hg Bi
1 1 2 1
direct
0.000 0.000 0.000
0.500 0.500 0.500
0.000 0.500 0.500
0.500 0.000 0.500
0.500 0.500 0.000
```

As for the symmetry: No. 123.



Entry 3:
A relaxed MgTaHgBi2 crystal. Source: the Alexandria database, functional PBE.

```
MgTaHgBi2
1.0
5.677 0.000 0.000
0.000 5.677 0.000
0.000 0.000 5.293
Mg Ta Hg Bi
1 1 1 2
direct
0.000 0.000 0.000
0.500 0.500 0.000
0.500 0.500 0.500
0.000 0.500 0.500
0.500 0.000 0.500
```

As for the symmetry: No. 123.



Electronic total energy for every record listed, in sequence, given in eV per cell: -42.73; -9.04; -15.14.
ΔE_f for every record listed, in sequence, given in meV per atom: -90; -255; 1273.